VASP calculation (PBE with a Hubbard U) on MnRuNO after structural relaxation.

```
data_MnRuNO
_cell_length_a 6.195
_cell_length_b 2.955
_cell_length_c 5.117
_cell_angle_alpha 90.00
_cell_angle_beta 106.07
_cell_angle_gamma 90.00
_space_group_name_H-M_alt 'P 1'
_space_group_IT_number 1
loop_
_space_group_symop_operation_xyz
'x,y,z'
loop_
_atom_site_label
_atom_site_type_symbol
_atom_site_fract_x
_atom_site_fract_y
_atom_site_fract_z
Ru1 Ru 0.027 0.000 0.938
N1 N 0.827 0.500 0.038
O1 O 0.365 0.000 0.051
Mn1 Mn 0.556 0.000 0.782
Mn2 Mn 0.556 0.500 0.282
N2 N 0.827 0.000 0.538
O2 O 0.365 0.500 0.551
Ru2 Ru 0.027 0.500 0.438
```

Summary:
ΔE to the lowest computed polymorph: 0.15 eV/f.u.
Space-group type: Cm
DFT total energy: -7.89 eV/atom
M_tot: 9.945 μB per cell